Computed, not measured: an optimized crystal structure of YPb at the PBE level of DFT.

The calculation puts the formation energy at -85 meV per atom. Its total magnetic moment is 1.52 μB/cell.

It has space group R-3m (No. 166, hexagonal axes), with a = 3.6315 Å, b = 3.6315 Å, c = 32.6422 Å, α = 90.00°, β = 90.00° and γ = 120.00°. The distinct sites, in fractional coordinates, are Y at (0.0000, 0.0000, 0.1232) and Pb at (0.0000, 0.0000, 0.3742).